# 1
Material: MoHN2F
Method: DFT, PBE with a Hubbard U
State: relaxed

abc: 4.001 4.001 4.184
angles: 90.00 90.00 90.00
Space group P4/mmm (No. 123)
Symmetry-distinct sites (fractional):
1 Mo 0.000 0.000 0.000
2 H 0.500 0.500 0.500
3 N 0.000 0.500 0.000
4 F 0.000 0.000 0.500

Computed properties:
- magnetization (μB per cell) = 0.00
- ΔE to the lowest computed polymorph (meV per atom) = 0


# 2
Material: MoH6NO3F2
Method: DFT, PBE with a Hubbard U
State: relaxed

abc: 9.457 14.592 7.994
angles: 90.00 113.36 90.00
Space group C2/c (No. 15)
Symmetry-distinct sites (fractional):
1 Mo 0.131 0.140 0.232
2 H 0.047 0.406 0.366
3 H 0.049 0.292 0.681
4 H 0.084 0.209 0.843
5 H 0.087 0.487 0.240
6 H 0.139 0.054 0.626
7 H 0.183 0.052 0.845
8 N 0.000 0.250 0.750
9 N 0.000 0.447 0.250
10 O 0.081 0.113 0.444
11 O 0.151 0.257 0.223
12 O 0.183 0.015 0.740
13 F 0.136 0.375 0.601
14 F 0.193 0.119 0.013

Computed properties:
- magnetization (μB per cell) = 0.27
- raw total energy (eV/atom) = -5.421


# 3
Material: MoHO2F
Method: DFT, PBE with a Hubbard U
State: relaxed

abc: 3.860 3.860 4.173
angles: 90.00 90.00 90.00
Space group P4/mmm (No. 123)
Symmetry-distinct sites (fractional):
1 Mo 0.000 0.000 0.000
2 H 0.500 0.500 0.500
3 O 0.000 0.500 0.000
4 F 0.000 0.000 0.500

Computed properties:
- magnetization (μB per cell) = 2.00
- raw total energy (eV/atom) = -5.438


# 4
Material: MoHO2F
Method: DFT, PBE with a Hubbard U
State: relaxed

abc: 3.766 3.766 2.711
angles: 90.00 90.00 90.00
Space group P4/mmm (No. 123)
Symmetry-distinct sites (fractional):
1 Mo 0.000 0.000 0.000
2 H 0.500 0.500 0.500
3 O 0.000 0.500 0.500
4 F 0.500 0.500 0.000

Computed properties:
- magnetization (μB per cell) = 1.16
- raw total energy (eV/atom) = -4.852